No. 1
Density functional theory data (PBE-GGA) for an optimized crystal structure of La2AsS.

extended XYZ file:
```
4
Lattice="2.1422 1.2368 6.9397 -2.1422 1.2368 6.9397 0.0000 -2.4736 6.9397" Properties=species:S:1:pos:R:3 pbc="T T T"
La 0.0000 0.0000 5.1837
La 0.0000 0.0000 15.6354
As 0.0000 0.0000 0.0000
S 0.0000 0.0000 10.4095
```

* formation energy without anion corrections: -1893 meV per atom
* polymorph energy (0 for the lowest one): 0.8 meV per atom
* space-group type: R-3m

***

No. 2
Density functional theory data (PBE-GGA) for an optimized crystal structure of La5AsS4.

extended XYZ file:
```
10
Lattice="-2.1027 2.1027 14.8567 2.1027 -2.1027 14.8567 2.1027 2.1027 -14.8567" Properties=species:S:1:pos:R:3 pbc="T T T"
La 0.0000 0.0000 0.0000
La 0.0000 0.0000 5.9739
La 0.0000 0.0000 11.8420
La 0.0000 0.0000 17.8713
La 0.0000 0.0000 23.7395
As 0.0000 0.0000 14.8567
S 0.0000 0.0000 3.0074
S 0.0000 0.0000 8.9007
S 0.0000 0.0000 20.8127
S 0.0000 0.0000 26.7060
```

* formation energy without anion corrections: -2052 meV per atom
* space-group type: I4/mmm

***

No. 3
Density functional theory data (PBE-GGA) for an optimized crystal structure of LaAsS3.

extended XYZ file:
```
5
Lattice="4.7973 0.0000 0.0000 0.0000 4.7973 0.0000 0.0000 0.0000 4.7973" Properties=species:S:1:pos:R:3 pbc="T T T"
La 0.0000 0.0000 0.0000
As 2.3986 2.3986 2.3986
S 0.0000 2.3986 2.3986
S 2.3986 0.0000 2.3986
S 2.3986 2.3986 0.0000
```

* formation energy without anion corrections: -870 meV per atom
* polymorph energy (0 for the lowest one): 280.4 meV per atom
* space-group type: Pm-3m

***

No. 4
Density functional theory data (PBE-GGA) for an optimized crystal structure of La4SbAsS2.

extended XYZ file:
```
8
Lattice="7.4653 0.0000 0.0000 0.0000 4.3496 0.0000 -2.5387 0.0000 7.1097" Properties=species:S:1:pos:R:3 pbc="T T T"
La 1.1501 0.0000 1.6740
La -0.1150 2.1748 5.3767
La 5.0416 2.1748 1.7329
La 3.7765 0.0000 5.4357
Sb 2.4633 2.1748 3.5548
As 3.7326 0.0000 0.0000
S -1.2693 0.0000 3.5548
S 0.0000 2.1748 0.0000
```

* formation energy without anion corrections: -1777 meV per atom
* space-group type: P2/m

***

No. 5
Density functional theory data (PBE-GGA) for an optimized crystal structure of La6SbAs3S2.

extended XYZ file:
```
12
Lattice="9.4891 -2.1806 0.0000 9.4891 2.1806 0.0000 -1.9990 0.0000 8.4791" Properties=species:S:1:pos:R:3 pbc="T T T"
La -0.4928 0.0000 2.2246
La 4.4080 0.0000 7.7507
La 5.4847 0.0000 3.5362
La 11.4945 0.0000 4.9429
La 12.5713 0.0000 0.7284
La 17.4720 0.0000 6.2545
Sb 9.4891 0.0000 0.0000
As 1.4838 0.0000 7.0393
As 8.4896 0.0000 4.2396
As 15.4955 0.0000 1.4398
S 2.5431 0.0000 2.8597
S 14.4361 0.0000 5.6194
```

* formation energy without anion corrections: -1720 meV per atom
* space-group type: C2/m

***

No. 6
Density functional theory data (PBE-GGA) for an optimized crystal structure of La4As2SeS.

extended XYZ file:
```
16
Lattice="-4.3068 4.3190 6.0993 4.3068 -4.3190 6.0993 4.3068 4.3190 -6.0993" Properties=species:S:1:pos:R:3 pbc="T T T"
La 2.1427 2.1595 0.0311
La 2.1641 -2.1595 6.1304
La 0.0000 0.0437 3.0409
La 4.3068 0.0437 3.0584
La 0.0000 4.2753 3.0409
La 4.3068 4.2753 3.0584
La 2.1427 6.4785 -0.0311
La 2.1641 2.1595 6.0682
As 4.3068 0.0000 0.0000
As -2.1534 2.1595 3.0496
As 0.0000 0.0000 6.0993
As 2.1534 2.1595 3.0496
Se 2.1534 2.1595 -3.0496
Se 2.1534 -2.1595 3.0496
S 0.0000 0.0000 0.0000
S 0.0000 4.3190 0.0000
```

* formation energy without anion corrections: -1862 meV per atom
* space-group type: Imma